No. 1
The following is a PBE calculation of AcNd7Dy4 after structural relaxation, from Alexandria.

E above lowest polymorph   0 meV/atom
Energy of formation   0.117 eV per formula unit
D(E_F)   1.36 states/eV per atom

a = 7.383 Å, b = 6.388 Å, c = 11.718 Å
α = 79.53°, β = 50.91°, γ = 90.02°
Atoms (fractional coordinates):
Ac  0.000  0.000  0.000
Nd  0.742  0.500  0.002
Nd  0.258  0.500  0.998
Nd  0.083  0.282  0.662
Nd  0.917  0.718  0.338
Nd  0.338  0.774  0.662
Nd  0.500  0.000  0.000
Nd  0.662  0.226  0.338
Dy  0.407  0.721  0.336
Dy  0.593  0.279  0.664
Dy  0.836  0.782  0.665
Dy  0.164  0.218  0.335

---

No. 2
The following is a PBE calculation of YErRu2 after structural relaxation, from Alexandria.

Energy of formation   -1.330 eV per formula unit
D(E_F)   1.30 states/eV per atom

a = 3.390 Å, b = 3.390 Å, c = 6.783 Å
α = 90.00°, β = 90.00°, γ = 90.00°
Atoms (fractional coordinates):
Y  0.500  0.500  0.500
Ru  0.000  0.000  0.755
Ru  0.000  0.000  0.245
Er  0.500  0.500  0.000

---

No. 3
The following is a PBE calculation of TiInCoOs after structural relaxation, from Alexandria.

Energy of formation   -0.607 eV per formula unit
D(E_F)   0.22 states/eV per atom

a = 4.401 Å, b = 4.401 Å, c = 4.401 Å
α = 60.00°, β = 60.00°, γ = 60.00°
Atoms (fractional coordinates):
Co  0.500  0.500  0.500
Ti  0.250  0.250  0.250
Os  0.000  0.000  0.000
In  0.750  0.750  0.750

---

No. 4
The following is a PBE calculation of Na2CoBi2 after structural relaxation, from Alexandria.

E above lowest polymorph   0 meV/atom
Energy of formation   0.028 eV per formula unit
D(E_F)   0.57 states/eV per atom

a = 7.015 Å, b = 7.015 Å, c = 5.354 Å
α = 90.00°, β = 90.00°, γ = 90.00°
Each line ends with the local moment (μB).
Atoms (fractional coordinates):
Na  0.169  0.669  0.500  0.00
Na  0.669  0.831  0.500  0.00
Na  0.831  0.331  0.500  0.00
Na  0.331  0.169  0.500  0.00
Co  0.000  0.000  0.000  1.16
Co  0.500  0.500  0.000  1.12
Bi  0.342  0.842  0.000  0.00
Bi  0.842  0.658  0.000  -0.01
Bi  0.658  0.158  0.000  0.00
Bi  0.158  0.342  0.000  -0.01

---

Q: Look up the D(E_F) of the first one.
A: 1.36 states/eV per atom